The following is a PBE calculation of a geometry-optimized Cs2GaHgI6 structure, from Alexandria.

Summary:
- Raw formation energy: -0.8167 eV/atom
- Total magnetization: 0.0 μB per formula unit
- Calculated density: 5.01 g/cm³
- Crystal system: cubic

```
Cs2GaHgI6
1.0
8.4727 0.0000 0.0000
4.2364 7.3376 0.0000
4.2364 2.4459 6.9180
Cs Ga Hg I
2 1 1 6
direct
0.7500 0.7500 0.7500
0.2500 0.2500 0.2500
0.0000 0.0000 0.0000
0.5000 0.5000 0.5000
0.7581 0.2419 0.2419
0.2419 0.2419 0.7581
0.2419 0.7581 0.7581
0.2419 0.7581 0.2419
0.7581 0.2419 0.7581
0.7581 0.7581 0.2419
```